Sr4Ga2H: optimized geometry, PBE.

Lattice parameters (Å, degrees): 5.2156 5.2156 16.2995 90.00 90.00 90.00
Closest atoms and distances in Å follow each position.
Space group I4/mmm (No. 139)
Unique sites:
Sr 0.0000 0.0000 0.1857 (multiplicity 4)  1 H 3.03, 1 Ga 3.18
Sr 0.0000 0.5000 0.0000 (multiplicity 4)  2 H 2.61
Ga 0.0000 0.0000 0.3810 (multiplicity 4)  5 Sr 3.18-3.25
H 0.0000 0.0000 0.0000 (multiplicity 2)  4 Sr 2.61



RePH3: optimized geometry, PBE.

Lattice parameters (Å, degrees): 3.3467 3.3467 3.3467 90.00 90.00 90.00
Closest atoms and distances in Å follow each position.
Space group Pm-3m (No. 221)
Unique sites:
Re 0.0000 0.0000 0.0000 (multiplicity 1)  12 H 2.37
P 0.5000 0.5000 0.5000 (multiplicity 1)  6 H 1.67
H 0.0000 0.5000 0.5000 (multiplicity 3)  2 P 1.67



LiHPtSe: optimized geometry, PBE.

Lattice parameters (Å, degrees): 2.8585 4.4772 4.6356 90.00 90.00 90.00
Closest atoms and distances in Å follow each position.
Space group Pmm2 (No. 25)
Unique sites:
Li 0.0000 0.0000 0.0000 (multiplicity 1)  2 H 2.24
H 0.0000 0.5000 0.0255 (multiplicity 1)  2 Pt 1.76
Pt 0.5000 0.5000 0.2477 (multiplicity 1)  2 H 1.76
Se 0.5000 0.0000 0.4980 (multiplicity 1)  2 Pt 2.52, 4 Li 2.72-2.73



Tb3PrHo4: optimized geometry, PBE.

Calculated values
ΔE_f, eV per atom: 0.174

Lattice parameters (Å, degrees): 23.4817 3.4657 6.7042 90.00 106.51 90.00
Closest atoms and distances in Å follow each position.
Space group C2/m (No. 12)
Unique sites:
Tb 0.0000 0.0000 0.0000 (multiplicity 2)  4 Tb 3.32-3.47, 2 Ho 3.33
Tb 0.1265 0.0000 0.8720 (multiplicity 4)  5 Ho 3.28-3.50, 3 Tb 3.32-3.47
Pr 0.0000 0.5000 0.5000 (multiplicity 2)  2 Pr 3.47, 4 Ho 3.71, 8 Tb 3.72-3.77
Ho 0.1264 0.0000 0.3824 (multiplicity 4)  3 Tb 3.28-3.42, 5 Ho 3.45-3.49
Ho 0.2401 0.5000 0.7381 (multiplicity 4)  9 Ho 3.45-3.82, 3 Tb 3.46-3.50



Ordered E results: -2.59, -4.32, -4.05, -4.45; unit eV per atom.